Entry 1:
Computed, not measured: a relaxed structure of CePr3Ho6 at the GGA-PBE level of DFT.

Its space-group type is C2/m (12). As for the energy relative to the lowest polymorph listed for this composition: 210 meV/atom. The energy of formation from the pure elements comes out at 0.308 eV/atom. The calculated volume is 347 Å³/f.u. The uncorrected energy is -4.4663 eV per atom. The spin magnetization is 1.2 μB/cell.

Cell lengths 8.6553, 8.9662, 6.2766 Å; angles 97.69, 133.59, 90.00 degrees
With the nearest neighbours (Å) after each atom.
Positions (direct):
1 Ce 0.5000 0.5000 0.0000  6 Ho 3.27-3.32, 2 Pr 3.58
2 Pr 0.7798 0.2672 0.5596  6 Ho 3.28-3.62, 1 Pr 3.39, 1 Ce 3.58
3 Pr 0.2202 0.7328 0.4404  6 Ho 3.28-3.62, 1 Pr 3.39, 1 Ce 3.58
4 Pr 0.0000 0.0000 0.0000  2 Pr 3.39, 6 Ho 3.47-3.55
5 Ho 0.3017 0.3563 0.2409  2 Ho 3.14-3.37, 2 Pr 3.28-3.43, 1 Ce 3.32
6 Ho 0.0608 0.6437 0.7591  2 Ho 3.14-3.37, 2 Pr 3.28-3.43, 1 Ce 3.32
7 Ho 0.6983 0.6437 0.7591  2 Ho 3.14-3.37, 2 Pr 3.28-3.43, 1 Ce 3.32
8 Ho 0.9392 0.3563 0.2409  2 Ho 3.14-3.37, 2 Pr 3.28-3.43, 1 Ce 3.32
9 Ho 0.3829 0.1329 0.7658  1 Ce 3.27, 3 Pr 3.47-3.62, 1 Ho 3.48
10 Ho 0.6171 0.8671 0.2342  1 Ce 3.27, 3 Pr 3.47-3.62, 1 Ho 3.48

---

Entry 2:
Computed, not measured: a relaxed structure of CePr6Ho2 at the GGA-PBE level of DFT.

Its space-group type is C2/m (12). The energy of formation from the pure elements comes out at 0.153 eV/atom. The calculated volume is 314 Å³/f.u. The uncorrected energy is -4.7103 eV per atom. The spin magnetization is 1.9 μB/cell.

Cell lengths 7.1314, 8.9048, 15.6964 Å; angles 140.90, 90.00, 90.00 degrees
With the nearest neighbours (Å) after each atom.
Positions (direct):
1 Ce 0.5000 0.5000 0.0000  6 Pr 3.45-3.83
2 Ce 0.0000 0.0000 0.5000  6 Pr 3.45-3.83
3 Pr 0.0004 0.2445 0.8351  5 Pr 3.31-3.70
4 Pr 0.2615 0.2383 0.4406  5 Pr 3.39-3.74, 3 Ho 3.43-3.64, 1 Ce 3.45
5 Pr 0.2374 0.2607 0.0591  5 Pr 3.39-3.74, 3 Ho 3.43-3.64, 1 Ce 3.46
6 Pr 0.7374 0.2393 0.4409  5 Pr 3.39-3.74, 3 Ho 3.43-3.64, 1 Ce 3.46
7 Pr 0.7615 0.2617 0.0594  5 Pr 3.39-3.74, 3 Ho 3.43-3.64, 1 Ce 3.45
8 Pr 0.5004 0.2555 0.6649  5 Pr 3.31-3.70
9 Pr 0.9996 0.7555 0.1649  5 Pr 3.31-3.70
10 Pr 0.7385 0.7617 0.5594  5 Pr 3.39-3.74, 3 Ho 3.43-3.64, 1 Ce 3.45
11 Pr 0.7626 0.7393 0.9409  5 Pr 3.39-3.74, 3 Ho 3.43-3.64, 1 Ce 3.46
12 Pr 0.2626 0.7607 0.5591  5 Pr 3.39-3.74, 3 Ho 3.43-3.64, 1 Ce 3.46
13 Pr 0.2385 0.7383 0.9406  5 Pr 3.39-3.74, 3 Ho 3.43-3.64, 1 Ce 3.45
14 Pr 0.4996 0.7445 0.3351  5 Pr 3.31-3.70
15 Ho 0.5001 0.1918 0.2262  8 Pr 3.43-3.84, 2 Ho 3.63
16 Ho 0.0001 0.3082 0.2738  8 Pr 3.43-3.84, 2 Ho 3.63
17 Ho 0.9999 0.6918 0.7262  8 Pr 3.43-3.84, 2 Ho 3.63
18 Ho 0.4999 0.8082 0.7738  8 Pr 3.43-3.84, 2 Ho 3.63

---

Entry 3:
Computed, not measured: a relaxed structure of Ce2PrHo at the GGA-PBE level of DFT.

Its space-group type is Fm-3m (225). As for the energy relative to the lowest polymorph listed for this composition: 165 meV/atom. The energy of formation from the pure elements comes out at 0.271 eV/atom. The calculated volume is 131 Å³/f.u. The uncorrected energy is -5.0348 eV per atom. The spin magnetization is 3.1 μB/cell.

Cell lengths 5.6989, 5.6989, 5.6989 Å; angles 60.00, 60.00, 60.00 degrees
With the nearest neighbours (Å) after each atom.
Positions (direct):
1 Pr 0.0000 0.0000 0.0000  8 Ce 3.49
2 Ho 0.5000 0.5000 0.5000  8 Ce 3.49
3 Ce 0.2500 0.2500 0.2500  4 Ho 3.49, 4 Pr 3.49
4 Ce 0.7500 0.7500 0.7500  4 Ho 3.49, 4 Pr 3.49

---

Entry 4:
Computed, not measured: a relaxed structure of CePr12Ho6 at the GGA-PBE level of DFT.

Its space-group type is R-3 (148). The energy of formation from the pure elements comes out at 0.032 eV/atom. The calculated volume is 653 Å³/f.u. The uncorrected energy is -4.7449 eV per atom. The spin magnetization is 1.3 μB/cell.

Cell lengths 9.6599, 9.6599, 9.6599 Å; angles 110.95, 110.95, 110.95 degrees
With the nearest neighbours (Å) after each atom.
Positions (direct):
1 Ce 0.0000 0.0000 0.0000  6 Pr 3.62, 6 Ho 3.62
2 Pr 0.3730 0.0586 0.5802  4 Ho 3.61-3.72, 8 Pr 3.63-3.71
3 Pr 0.0586 0.5802 0.3730  4 Ho 3.61-3.72, 8 Pr 3.63-3.71
4 Pr 0.5802 0.3730 0.0586  4 Ho 3.61-3.72, 8 Pr 3.63-3.71
5 Pr 0.6270 0.9414 0.4198  4 Ho 3.61-3.72, 8 Pr 3.63-3.71
6 Pr 0.9414 0.4198 0.6270  4 Ho 3.61-3.72, 8 Pr 3.63-3.71
7 Pr 0.4198 0.6270 0.9414  4 Ho 3.61-3.72, 8 Pr 3.63-3.71
8 Pr 0.1040 0.1564 0.7394  1 Ce 3.62, 8 Pr 3.62-3.71, 3 Ho 3.65-3.74
9 Pr 0.2606 0.8960 0.8436  1 Ce 3.62, 8 Pr 3.62-3.71, 3 Ho 3.65-3.74
10 Pr 0.8436 0.2606 0.8960  1 Ce 3.62, 8 Pr 3.62-3.71, 3 Ho 3.65-3.74
11 Pr 0.8960 0.8436 0.2606  1 Ce 3.62, 8 Pr 3.62-3.71, 3 Ho 3.65-3.74
12 Pr 0.7394 0.1040 0.1564  1 Ce 3.62, 8 Pr 3.62-3.71, 3 Ho 3.65-3.74
13 Pr 0.1564 0.7394 0.1040  1 Ce 3.62, 8 Pr 3.62-3.71, 3 Ho 3.65-3.74
14 Ho 0.2139 0.3166 0.4701  4 Ho 3.55-3.61, 7 Pr 3.61-3.74, 1 Ce 3.62
15 Ho 0.6834 0.5299 0.7861  4 Ho 3.55-3.61, 7 Pr 3.61-3.74, 1 Ce 3.62
16 Ho 0.5299 0.7861 0.6834  4 Ho 3.55-3.61, 7 Pr 3.61-3.74, 1 Ce 3.62
17 Ho 0.7861 0.6834 0.5299  4 Ho 3.55-3.61, 7 Pr 3.61-3.74, 1 Ce 3.62
18 Ho 0.3166 0.4701 0.2139  4 Ho 3.55-3.61, 7 Pr 3.61-3.74, 1 Ce 3.62
19 Ho 0.4701 0.2139 0.3166  4 Ho 3.55-3.61, 7 Pr 3.61-3.74, 1 Ce 3.62

---

Entry 5:
Computed, not measured: a relaxed structure of CePr7Ho12 at the GGA-PBE level of DFT.

Its space-group type is R-3 (148). The energy of formation from the pure elements comes out at 0.238 eV/atom. The calculated volume is 668 Å³/f.u. The uncorrected energy is -4.4778 eV per atom. The spin magnetization is 0.0 μB/cell.

Cell lengths 8.7437, 8.7437, 8.7437 Å; angles 90.05, 90.05, 90.05 degrees
With the nearest neighbours (Å) after each atom.
Positions (direct):
1 Ce 0.0000 0.0000 0.0000  6 Pr 2.98
2 Pr 0.9632 0.6686 0.0676  1 Ce 2.98, 1 Pr 3.24
3 Pr 0.3314 0.9324 0.0368  1 Ce 2.98, 1 Pr 3.24
4 Pr 0.9324 0.0368 0.3314  1 Ce 2.98, 1 Pr 3.24
5 Pr 0.5000 0.5000 0.5000  12 Ho 3.51-3.52
6 Pr 0.0676 0.9632 0.6686  1 Ce 2.98, 1 Pr 3.24
7 Pr 0.6686 0.0676 0.9632  1 Ce 2.98, 1 Pr 3.24
8 Pr 0.0368 0.3314 0.9324  1 Ce 2.98, 1 Pr 3.24
9 Ho 0.7739 0.2370 0.6292  5 Pr 3.40-3.60, 7 Ho 3.60-3.79
10 Ho 0.7630 0.3708 0.2261  5 Pr 3.40-3.60, 7 Ho 3.60-3.79
11 Ho 0.4536 0.1254 0.3589  8 Ho 3.40-3.79, 2 Pr 3.45-3.52
12 Ho 0.8746 0.6411 0.5464  8 Ho 3.40-3.79, 2 Pr 3.45-3.52
13 Ho 0.3708 0.2261 0.7630  5 Pr 3.40-3.60, 7 Ho 3.60-3.79
14 Ho 0.6411 0.5464 0.8746  8 Ho 3.40-3.79, 2 Pr 3.45-3.52
15 Ho 0.3589 0.4536 0.1254  8 Ho 3.40-3.79, 2 Pr 3.45-3.52
16 Ho 0.6292 0.7739 0.2370  5 Pr 3.40-3.60, 7 Ho 3.60-3.79
17 Ho 0.1254 0.3589 0.4536  8 Ho 3.40-3.79, 2 Pr 3.45-3.52
18 Ho 0.5464 0.8746 0.6411  8 Ho 3.40-3.79, 2 Pr 3.45-3.52
19 Ho 0.2370 0.6292 0.7739  5 Pr 3.40-3.60, 7 Ho 3.60-3.79
20 Ho 0.2261 0.7630 0.3708  5 Pr 3.40-3.60, 7 Ho 3.60-3.79

---

Entry 6:
Computed, not measured: a relaxed structure of CePr4Ho at the GGA-PBE level of DFT.

Its space-group type is C2/m (12). The energy of formation from the pure elements comes out at 0.064 eV/atom. The calculated volume is 207 Å³/f.u. The uncorrected energy is -4.8742 eV per atom. The spin magnetization is 2.3 μB/cell.

Cell lengths 10.9666, 6.3183, 6.3235 Å; angles 70.70, 90.00, 90.00 degrees
With the nearest neighbours (Å) after each atom.
Positions (direct):
1 Ce 0.0000 0.5000 0.5000  10 Pr 3.63-3.68, 2 Ho 3.66
2 Ce 0.5000 0.5000 0.0000  10 Pr 3.63-3.68, 2 Ho 3.66
3 Pr 0.6633 0.0000 0.9999  7 Pr 3.58-3.69, 2 Ce 3.63, 3 Ho 3.63-3.69
4 Pr 0.8367 0.0000 0.4999  7 Pr 3.58-3.69, 2 Ce 3.63, 3 Ho 3.63-3.69
5 Pr 0.3352 0.5000 0.5001  7 Pr 3.61-3.68, 2 Ho 3.64, 3 Ce 3.64-3.68
6 Pr 0.8352 0.5000 0.9999  7 Pr 3.61-3.68, 2 Ho 3.64, 3 Ce 3.64-3.68
7 Pr 0.1648 0.5000 0.0001  7 Pr 3.61-3.68, 2 Ho 3.64, 3 Ce 3.64-3.68
8 Pr 0.6648 0.5000 0.4999  7 Pr 3.61-3.68, 2 Ho 3.64, 3 Ce 3.64-3.68
9 Pr 0.1633 0.0000 0.5001  7 Pr 3.58-3.69, 2 Ce 3.63, 3 Ho 3.63-3.69
10 Pr 0.3367 0.0000 0.0001  7 Pr 3.58-3.69, 2 Ce 3.63, 3 Ho 3.63-3.69
11 Ho 0.5000 0.0000 0.5000  10 Pr 3.63-3.69, 2 Ce 3.66
12 Ho 0.0000 0.0000 0.0000  10 Pr 3.63-3.69, 2 Ce 3.66

---

Question: Which value of uncorrected energy does entry 6 give?
Answer: -4.8742 eV per atom